NaTb2SmTl4, optimized geometry, DFT PBE; N(E_F) = 4.71 states/eV/f.u.; total energy = -27.2 eV for the cell shown; symmetry = R-3m (166); magnetization = 0.0 μB/f.u.; volume = 27.7 Å³/atom
1.0
-4.950 -1.145 1.680
-0.717 -3.172 4.250
-1.724 5.697 7.330
Tl Tb Na Sm
4 2 1 1
Direct
0.624 0.624 0.128
0.126 0.126 0.623
0.376 0.376 0.872
0.874 0.874 0.377
0.754 0.754 0.737
0.246 0.246 0.263
0.500 0.500 0.500
0.000 0.000 0.000